A geometry-optimized Os2PbBr structure. Source: Alexandria, functional PBE.

Output
Its formation energy from raw total energies is 1310.7 meV per atom. The crystal system is trigonal. As for the magnetic moment: 0.003 μB/cell. Its energy above the most stable polymorph in this dataset is 821 meV/atom.

The structure in CIF format:
```
data_Os2PbBr
_symmetry_space_group_name_H-M 'R -3 m'
_symmetry_Int_Tables_number 166
_symmetry_space_group_name_Hall '-R 3 2"'
_cell_length_a 3.1340
_cell_length_b 3.1340
_cell_length_c 25.5237
_cell_angle_alpha 90.00
_cell_angle_beta 90.00
_cell_angle_gamma 120.00
loop_
_atom_site_label
_atom_site_type_symbol
_atom_site_fract_x
_atom_site_fract_y
_atom_site_fract_z
Os1 Os 0.0000 0.0000 0.2479
Pb1 Pb 0.0000 0.0000 0.0000
Br1 Br 0.0000 0.0000 0.5000
```



A geometry-optimized LaBeF5 structure. Source: Alexandria, functional PBE.

Output
Its formation energy from raw total energies is -3742.9 meV per atom. The crystal system is monoclinic. As for the magnetic moment: 0.000 μB/cell.

The structure in CIF format:
```
data_LaBeF5
_symmetry_space_group_name_H-M 'C 1 2/c 1'
_symmetry_Int_Tables_number 15
_symmetry_space_group_name_Hall '-C 2yc'
_cell_length_a 8.5619
_cell_length_b 7.8676
_cell_length_c 8.5101
_cell_angle_alpha 90.00
_cell_angle_beta 116.96
_cell_angle_gamma 90.00
loop_
_atom_site_label
_atom_site_type_symbol
_atom_site_fract_x
_atom_site_fract_y
_atom_site_fract_z
La1 La 0.2500 0.2500 0.0000
Be1 Be 0.0000 0.1405 0.2500
F1 F 0.0000 0.3349 0.7500
F2 F 0.0911 0.2505 0.1630
F3 F 0.1408 0.0221 0.3945
```



A geometry-optimized TbHoTe structure. Source: Alexandria, functional PBE.

Output
Its formation energy from raw total energies is -846.6 meV per atom. The crystal system is monoclinic. As for the magnetic moment: 0.000 μB/cell. Its energy above the most stable polymorph in this dataset is 7 meV/atom.

The structure in CIF format:
```
data_TbHoTe
_symmetry_space_group_name_H-M 'P 1 21/m 1'
_symmetry_Int_Tables_number 11
_symmetry_space_group_name_Hall '-P 2yb'
_cell_length_a 8.4477
_cell_length_b 4.0299
_cell_length_c 14.8489
_cell_angle_alpha 90.00
_cell_angle_beta 90.90
_cell_angle_gamma 90.00
loop_
_atom_site_label
_atom_site_type_symbol
_atom_site_fract_x
_atom_site_fract_y
_atom_site_fract_z
Tb1 Tb 0.0347 0.2500 0.2910
Tb2 Tb 0.3576 0.7500 0.9075
Tb3 Tb 0.4579 0.7500 0.6137
Ho1 Ho 0.0031 0.2500 0.9040
Ho2 Ho 0.1373 0.2500 0.5476
Ho3 Ho 0.3598 0.7500 0.2073
Te1 Te 0.2600 0.7500 0.4090
Te2 Te 0.2683 0.2500 0.7486
Te3 Te 0.2727 0.2500 0.0568
```



A geometry-optimized Pa3ZnTe6 structure. Source: Alexandria, functional PBE.

Output
Its formation energy from raw total energies is -687.0 meV per atom. The crystal system is orthorhombic. As for the magnetic moment: 10.979 μB/cell.

The structure in CIF format:
```
data_Pa3ZnTe6
_symmetry_space_group_name_H-M 'C m c 21'
_symmetry_Int_Tables_number 36
_symmetry_space_group_name_Hall 'C 2c -2'
_cell_length_a 12.1038
_cell_length_b 14.2860
_cell_length_c 7.2104
_cell_angle_alpha 90.00
_cell_angle_beta 90.00
_cell_angle_gamma 90.00
loop_
_atom_site_label
_atom_site_type_symbol
_atom_site_fract_x
_atom_site_fract_y
_atom_site_fract_z
Pa1 Pa 0.0000 0.0866 0.0000
Pa2 Pa 0.1623 0.3979 0.1159
Zn1 Zn 0.0000 0.1344 0.5904
Te1 Te 0.0000 0.2605 0.2970
Te2 Te 0.0000 0.4571 0.7977
Te3 Te 0.1760 0.0441 0.3033
Te4 Te 0.1758 0.2247 0.8438
```



A geometry-optimized KBe2Tc structure. Source: Alexandria, functional PBE.

Output
The crystal system is monoclinic. The formation energy comes out at 0.39 eV/atom. As for the magnetic moment: 0.000 μB/cell. Its energy above the most stable polymorph in this dataset is 0 meV/atom.

The structure in CIF format:
```
data_KBe2Tc
_symmetry_space_group_name_H-M 'P 1 2/m 1'
_symmetry_Int_Tables_number 10
_symmetry_space_group_name_Hall '-P 2y'
_cell_length_a 3.0674
_cell_length_b 3.0900
_cell_length_c 7.0970
_cell_angle_alpha 90.00
_cell_angle_beta 90.29
_cell_angle_gamma 90.00
loop_
_atom_site_label
_atom_site_type_symbol
_atom_site_fract_x
_atom_site_fract_y
_atom_site_fract_z
K1 K 0.0000 0.0000 0.0000
Be1 Be 0.4987 0.5000 0.3598
Tc1 Tc 0.0000 0.0000 0.5000
```



A geometry-optimized TiNbGaRh2 structure. Source: Alexandria, functional PBE.

Output
The crystal system is tetragonal. The formation energy comes out at 0.59 eV/atom. As for the magnetic moment: 0.000 μB/cell.

The structure in CIF format:
```
data_TiNbGaRh2
_symmetry_space_group_name_H-M 'P 4/m m m'
_symmetry_Int_Tables_number 123
_symmetry_space_group_name_Hall '-P 4 2'
_cell_length_a 4.4383
_cell_length_b 4.4383
_cell_length_c 4.6432
_cell_angle_alpha 90.00
_cell_angle_beta 90.00
_cell_angle_gamma 90.00
loop_
_atom_site_label
_atom_site_type_symbol
_atom_site_fract_x
_atom_site_fract_y
_atom_site_fract_z
Ti1 Ti 0.0000 0.0000 0.0000
Nb1 Nb 0.5000 0.5000 0.0000
Ga1 Ga 0.0000 0.0000 0.5000
Rh1 Rh 0.0000 0.5000 0.5000
```



A geometry-optimized CePm4Dy8 structure. Source: Alexandria, functional PBE.

Output
The crystal system is trigonal. The formation energy comes out at 0.52 eV/atom. As for the magnetic moment: 6.933 μB/cell.

The structure in CIF format:
```
data_CePm4Dy8
_symmetry_space_group_name_H-M 'R -3 m'
_symmetry_Int_Tables_number 166
_symmetry_space_group_name_Hall '-R 3 2"'
_cell_length_a 11.0351
_cell_length_b 11.0351
_cell_length_c 13.4653
_cell_angle_alpha 90.00
_cell_angle_beta 90.00
_cell_angle_gamma 120.00
loop_
_atom_site_label
_atom_site_type_symbol
_atom_site_fract_x
_atom_site_fract_y
_atom_site_fract_z
Ce1 Ce 0.0000 0.0000 0.0000
Pm1 Pm 0.0000 0.0000 0.5000
Pm2 Pm 0.0000 0.5000 0.5000
Dy1 Dy 0.0000 0.0000 0.2586
Dy2 Dy 0.0112 0.5056 0.2464
```



A geometry-optimized RbIn3Pd structure. Source: Alexandria, functional PBE.

Output
The crystal system is monoclinic. The formation energy comes out at -0.21 eV/atom. As for the magnetic moment: 0.000 μB/cell. Its energy above the most stable polymorph in this dataset is 10 meV/atom.

The structure in CIF format:
```
data_RbIn3Pd
_symmetry_space_group_name_H-M 'C 1 2/c 1'
_symmetry_Int_Tables_number 15
_symmetry_space_group_name_Hall '-C 2yc'
_cell_length_a 12.4907
_cell_length_b 13.6686
_cell_length_c 7.0559
_cell_angle_alpha 90.00
_cell_angle_beta 99.05
_cell_angle_gamma 90.00
loop_
_atom_site_label
_atom_site_type_symbol
_atom_site_fract_x
_atom_site_fract_y
_atom_site_fract_z
Rb1 Rb 0.1231 0.0989 0.1123
In1 In 0.1187 0.3691 0.0635
In2 In 0.1339 0.3949 0.5271
In3 In 0.1763 0.1811 0.6466
Pd1 Pd 0.0000 0.2766 0.7500
Pd2 Pd 0.0000 0.4943 0.7500
```